# NpZnAgGe

An optimized crystal structure of NpZnAgGe (GGA-PBE, the Alexandria database).

CIF file:
```
data_NpZnAgGe
_symmetry_space_group_name_H-M 'F -4 3 m'
_symmetry_Int_Tables_number 216
_symmetry_space_group_name_Hall 'F -4 2 3'
_cell_length_a 6.8002
_cell_length_b 6.8002
_cell_length_c 6.8002
_cell_angle_alpha 90.00
_cell_angle_beta 90.00
_cell_angle_gamma 90.00
loop_
_atom_site_label
_atom_site_type_symbol
_atom_site_fract_x
_atom_site_fract_y
_atom_site_fract_z
Np1 Np 0.0000 0.0000 0.0000
Zn1 Zn 0.2500 0.2500 0.2500
Ag1 Ag 0.0000 0.0000 0.5000
Ge1 Ge 0.2500 0.2500 0.7500
```

- final energy (eV for the cell shown) = -85.79
- formation energy from the elements (eV/atom) = 0.059
- total magnetic moment (μB/cell) = 16.668

***

# CsCeTc2O8

An optimized crystal structure of CsCeTc2O8 (GGA-PBE, the Alexandria database).

CIF file:
```
data_CsCeTc2O8
_symmetry_space_group_name_H-M 'P -3'
_symmetry_Int_Tables_number 147
_cell_length_a 6.0898
_cell_length_b 6.0898
_cell_length_c 8.5215
_cell_angle_alpha 90.00
_cell_angle_beta 90.00
_cell_angle_gamma 120.00
loop_
_symmetry_equiv_pos_as_xyz
'x,y,z'
'-x,-y,-z'
'-y,x-y,z'
'y,-x+y,-z'
'-x+y,-x,z'
'x-y,x,-z'
loop_
_atom_site_label
_atom_site_type_symbol
_atom_site_fract_x
_atom_site_fract_y
_atom_site_fract_z
Cs1 Cs 0.0000 0.0000 0.0000
Ce1 Ce 0.0000 0.0000 0.5000
Tc1 Tc 0.3333 0.6667 0.7389
O1 O 0.1699 0.3447 0.6650
O2 O 0.3333 0.6667 0.9441
```

- final energy (eV for the cell shown) = -90.52
- total magnetic moment (μB/cell) = 3.030

***

# Sm2YHo

An optimized crystal structure of Sm2YHo (GGA-PBE, the Alexandria database).

CIF file:
```
data_Sm2YHo
_symmetry_space_group_name_H-M 'F -4 3 m'
_symmetry_Int_Tables_number 216
_symmetry_space_group_name_Hall 'F -4 2 3'
_cell_length_a 8.0926
_cell_length_b 8.0926
_cell_length_c 8.0926
_cell_angle_alpha 90.00
_cell_angle_beta 90.00
_cell_angle_gamma 90.00
loop_
_atom_site_label
_atom_site_type_symbol
_atom_site_fract_x
_atom_site_fract_y
_atom_site_fract_z
Sm1 Sm 0.0000 0.0000 0.0000
Sm2 Sm 0.2500 0.2500 0.2500
Y1 Y 0.0000 0.0000 0.5000
Ho1 Ho 0.2500 0.2500 0.7500
```

- excess energy over the best structure of this formula in the dataset (eV per atom) = 0.129
- final energy (eV for the cell shown) = -79.63
- formation energy from the elements (eV/atom) = 0.143
- total magnetic moment (μB/cell) = 0.032

***

# ZrCoMo2

An optimized crystal structure of ZrCoMo2 (GGA-PBE, the Alexandria database).

CIF file:
```
data_ZrCoMo2
_symmetry_space_group_name_H-M 'C m m m'
_symmetry_Int_Tables_number 65
_symmetry_space_group_name_Hall '-C 2 2'
_cell_length_a 5.2820
_cell_length_b 9.1581
_cell_length_c 2.6982
_cell_angle_alpha 90.00
_cell_angle_beta 90.00
_cell_angle_gamma 90.00
loop_
_atom_site_label
_atom_site_type_symbol
_atom_site_fract_x
_atom_site_fract_y
_atom_site_fract_z
Zr1 Zr 0.0000 0.0000 0.0000
Co1 Co 0.0000 0.5000 0.0000
Mo1 Mo 0.2500 0.2500 0.5000
```

- excess energy over the best structure of this formula in the dataset (eV per atom) = 0.356
- final energy (eV for the cell shown) = -71.92
- formation energy from the elements (eV/atom) = 0.338
- total magnetic moment (μB/cell) = 2.509

***

Copy entry 3 word for word.
# Sm2YHo

An optimized crystal structure of Sm2YHo (GGA-PBE, the Alexandria database).

CIF file:
```
data_Sm2YHo
_symmetry_space_group_name_H-M 'F -4 3 m'
_symmetry_Int_Tables_number 216
_symmetry_space_group_name_Hall 'F -4 2 3'
_cell_length_a 8.0926
_cell_length_b 8.0926
_cell_length_c 8.0926
_cell_angle_alpha 90.00
_cell_angle_beta 90.00
_cell_angle_gamma 90.00
loop_
_atom_site_label
_atom_site_type_symbol
_atom_site_fract_x
_atom_site_fract_y
_atom_site_fract_z
Sm1 Sm 0.0000 0.0000 0.0000
Sm2 Sm 0.2500 0.2500 0.2500
Y1 Y 0.0000 0.0000 0.5000
Ho1 Ho 0.2500 0.2500 0.7500
```

- excess energy over the best structure of this formula in the dataset (eV per atom) = 0.129
- final energy (eV for the cell shown) = -79.63
- formation energy from the elements (eV/atom) = 0.143
- total magnetic moment (μB/cell) = 0.032

***

Number 1 is which compound? NpZnAgGe

***

The lowest total magnetic moment belongs to which entry? Sm2YHo